# Na2Hf2AgTe6

A geometry-optimized Na2Hf2AgTe6 structure (GGA-PBE, Alexandria via LeMat-Bulk).

Computed properties:
Uncorrected energy, eV per formula unit: -51.60
Formation energy without anion corrections, kJ/mol of atoms: -65

Unit cell a=7.0978 b=12.6065 c=8.0997 alpha=90.00 beta=106.74 gamma=90.00
Space group C2/m (No. 12)
Inequivalent atoms, fractional coordinates:
1 Na 0.0000 0.1599 0.0000 (multiplicity 4)
2 Hf 0.0000 0.3323 0.5000 (multiplicity 4)
3 Ag 0.0000 0.0000 0.5000 (multiplicity 2)
4 Te 0.2260 0.5000 0.7150 (multiplicity 4)
5 Te 0.2466 0.1744 0.7207 (multiplicity 8)